[1]
# PBEsol La2Ru, optimized geometry
data_La2Ru
_symmetry_space_group_name_H-M 'F m -3 m'
_symmetry_Int_Tables_number 225
_symmetry_space_group_name_Hall '-F 4 2 3'
_cell_length_a 6.922
_cell_length_b 6.922
_cell_length_c 6.922
_cell_angle_alpha 90.00
_cell_angle_beta 90.00
_cell_angle_gamma 90.00
loop_
_atom_site_label
_atom_site_fract_x
_atom_site_fract_y
_atom_site_fract_z
La1 0.250 0.250 0.250
Ru1 0.000 0.000 0.000
# energy of formation: -0.12 eV per atom

=====

[2]
# PBEsol CaSc2Os, optimized geometry
data_CaSc2Os
_symmetry_space_group_name_H-M 'P 4/m m m'
_symmetry_Int_Tables_number 123
_symmetry_space_group_name_Hall '-P 4 2'
_cell_length_a 3.225
_cell_length_b 3.225
_cell_length_c 8.933
_cell_angle_alpha 90.00
_cell_angle_beta 90.00
_cell_angle_gamma 90.00
loop_
_atom_site_label
_atom_site_fract_x
_atom_site_fract_y
_atom_site_fract_z
Ca1 0.000 0.000 0.000
Sc1 0.500 0.500 0.330
Os1 0.000 0.000 0.500
# polymorph energy (0 for the lowest one): 0.000 eV per atom
# energy of formation: -0.21 eV per atom

=====

[3]
# PBEsol Ca3OsRh, optimized geometry
data_Ca3OsRh
_symmetry_space_group_name_H-M 'P m -3 m'
_symmetry_Int_Tables_number 221
_symmetry_space_group_name_Hall '-P 4 2 3'
_cell_length_a 5.098
_cell_length_b 5.098
_cell_length_c 5.098
_cell_angle_alpha 90.00
_cell_angle_beta 90.00
_cell_angle_gamma 90.00
loop_
_atom_site_label
_atom_site_fract_x
_atom_site_fract_y
_atom_site_fract_z
Ca1 0.000 0.000 0.500
Os1 0.500 0.500 0.500
Rh1 0.000 0.000 0.000
# energy of formation: 0.84 eV per atom

=====

[4]
# PBEsol PPtPb, optimized geometry
data_PPtPb
_symmetry_space_group_name_H-M 'F -4 3 m'
_symmetry_Int_Tables_number 216
_symmetry_space_group_name_Hall 'F -4 2 3'
_cell_length_a 6.397
_cell_length_b 6.397
_cell_length_c 6.397
_cell_angle_alpha 90.00
_cell_angle_beta 90.00
_cell_angle_gamma 90.00
loop_
_atom_site_label
_atom_site_fract_x
_atom_site_fract_y
_atom_site_fract_z
P1 0.000 0.000 0.000
Pt1 0.000 0.000 0.500
Pb1 0.250 0.250 0.750
# energy of formation: 0.64 eV per atom

=====

[5]
# PBEsol AlCdAs2, optimized geometry
data_AlCdAs2
_symmetry_space_group_name_H-M 'P 4/m m m'
_symmetry_Int_Tables_number 123
_symmetry_space_group_name_Hall '-P 4 2'
_cell_length_a 3.168
_cell_length_b 3.168
_cell_length_c 7.509
_cell_angle_alpha 90.00
_cell_angle_beta 90.00
_cell_angle_gamma 90.00
loop_
_atom_site_label
_atom_site_fract_x
_atom_site_fract_y
_atom_site_fract_z
Al1 0.000 0.000 0.000
Cd1 0.000 0.000 0.500
As1 0.500 0.500 0.219
# polymorph energy (0 for the lowest one): 0.180 eV per atom
# energy of formation: 0.15 eV per atom

=====

[6]
# PBEsol CdHg2, optimized geometry
data_CdHg2
_symmetry_space_group_name_H-M 'C 1 m 1'
_symmetry_Int_Tables_number 8
_symmetry_space_group_name_Hall 'C -2y'
_cell_length_a 12.167
_cell_length_b 3.179
_cell_length_c 7.086
_cell_angle_alpha 90.00
_cell_angle_beta 104.00
_cell_angle_gamma 90.00
loop_
_atom_site_label
_atom_site_fract_x
_atom_site_fract_y
_atom_site_fract_z
Cd1 0.000 0.000 0.000
Cd2 0.174 0.500 0.339
Hg1 0.060 0.000 0.600
Hg2 0.212 0.500 0.941
Hg3 0.341 0.000 0.673
Hg4 0.388 0.000 0.267
# polymorph energy (0 for the lowest one): 0.022 eV per atom
# energy of formation: 0.01 eV per atom